Below is AcS2Br3O8 after structural relaxation, with properties calculated at the GGA-PBE level.

POSCAR file:
```
AcS2Br3O8
1.0
-3.982 0.870 3.842
-0.101 -4.639 -3.137
7.711 -6.581 9.484
Br O Ac S
3 8 1 2
Direct
0.000 0.000 0.000
0.333 0.667 0.996
0.667 0.333 0.004
0.810 0.190 0.616
0.380 0.190 0.616
0.667 0.333 0.760
0.190 0.380 0.384
0.190 0.810 0.384
0.620 0.810 0.384
0.333 0.667 0.240
0.810 0.620 0.616
0.000 0.000 0.500
0.667 0.333 0.656
0.333 0.667 0.344
```

- electronic total energy (eV/atom) = -5.343
- theoretical density (Mg/m³) = 2.90
- raw formation energy (kJ per mole of atoms) = -122
- M_tot (μB/cell) = 1.60
- Fermi-level density of states (states/eV/cell) = 16.1